Compound: K2CuH2Cl6
Source: Alexandria via LeMat-Bulk
Functional: PBE
Structure: relaxed

Raw total energy (Ry per atom): -0.222

Lattice parameters (Å, degrees): 6.5259 6.5259 19.3433 90.00 90.00 120.00
Closest atoms and distances in Å follow each position.
Space group R-3m (No. 166, hexagonal axes)
One atom of each set of equivalent atoms:
K: 0.0000 0.0000 0.2298 [6 per cell]  9 Cl 3.30-3.53, 1 H 3.40
Cu: 0.0000 0.0000 0.0000 [3 per cell]  6 Cl 2.46
H: 0.0000 0.0000 0.4058 [6 per cell]  3 Cl 1.82
Cl: 0.0113 0.5056 0.2560 [18 per cell]  1 H 1.82

=====

Compound: LiCuH4Cl3O2
Source: Alexandria via LeMat-Bulk
Functional: PBE
Structure: relaxed

Raw total energy (Ry per atom): -0.310

Lattice parameters (Å, degrees): 6.2447 11.1831 9.3842 90.00 107.07 90.00
Closest atoms and distances in Å follow each position.
Space group P2_1/c (No. 14)
One atom of each set of equivalent atoms:
Li: 0.0383 0.0397 0.1520 [4 per cell]  3 O 2.02-2.07
Cu: 0.3478 0.5129 0.1236 [4 per cell]  4 Cl 2.26-2.31
H: 0.1103 0.6843 0.5759 [4 per cell]  1 O 0.99
H: 0.3122 0.6013 0.5788 [4 per cell]  1 O 0.99
H: 0.3218 0.2162 0.2306 [4 per cell]  1 O 0.99
H: 0.3743 0.1506 0.0979 [4 per cell]  1 O 0.98
Cl: 0.0608 0.6317 0.1361 [4 per cell]  1 H 2.18, 1 Cu 2.26
Cl: 0.3197 0.1009 0.8227 [4 per cell]  2 H 2.21-2.22, 1 Cu 2.31
Cl: 0.3988 0.6185 0.9251 [4 per cell]  2 Cu 2.30-2.31
O: 0.1469 0.6026 0.5499 [4 per cell]  2 H 0.99
O: 0.3227 0.1365 0.1854 [4 per cell]  2 H 0.98-0.99

=====

Compound: CuMoHCl2
Source: Alexandria via LeMat-Bulk
Functional: PBE
Structure: relaxed

Raw total energy (Ry per atom): -0.297

Lattice parameters (Å, degrees): 4.9956 4.9956 3.5833 90.00 90.00 90.00
Closest atoms and distances in Å follow each position.
Space group P4/mmm (No. 123)
One atom of each set of equivalent atoms:
Cu: 0.0000 0.0000 0.0000 [1 per cell]  8 Cl 3.07
Mo: 0.5000 0.5000 0.5000 [1 per cell]  2 H 1.79
H: 0.5000 0.5000 0.0000 [1 per cell]  2 Mo 1.79
Cl: 0.0000 0.5000 0.5000 [2 per cell]  2 Mo 2.50

=====

Compound: CuH4NCl3
Source: Alexandria via LeMat-Bulk
Functional: PBE
Structure: relaxed

Raw total energy (Ry per atom): -0.299

Lattice parameters (Å, degrees): 4.7864 4.9172 4.9179 90.00 90.01 90.02
Closest atoms and distances in Å follow each position.
Space group P1 (No. 1)
One atom of each set of equivalent atoms:
Cu: 0.0000 0.0000 0.0000 [1 per cell]  6 Cl 2.39-2.46
H: 0.3742 0.3302 0.5007 [1 per cell]  1 N 1.04
H: 0.3756 0.6729 0.5010 [1 per cell]  1 N 1.04
H: 0.6262 0.5005 0.6722 [1 per cell]  1 N 1.04
H: 0.6263 0.5008 0.3296 [1 per cell]  1 N 1.04
N: 0.5006 0.5011 0.5009 [1 per cell]  4 H 1.04
Cl: 0.0175 0.0007 0.5005 [1 per cell]  2 H 2.35, 2 Cu 2.46
Cl: 0.5003 0.0006 0.0007 [1 per cell]  2 Cu 2.39
Cl: 0.9837 0.5004 0.0007 [1 per cell]  2 H 2.35, 2 Cu 2.46

=====

Which value of raw total energy does entry 2 give?
-0.310 Ry per atom

=====

Look up the raw total energy of the fourth one.
-0.299 Ry per atom

=====

Look up the raw total energy of the second one.
-0.310 Ry per atom

=====

Among the records above, which one has the highest raw total energy?
K2CuH2Cl6